A plane-wave DFT calculation with GGA-PBE was carried out for a relaxed RbAsRuSe2 crystal.

Calculated values
Density of states at the Fermi level in states/eV/cell: 11.60
Offset from the most stable computed form in eV/atom: 2.1049
M_tot in μB per formula unit: 3.767

Lattice parameters (Å, degrees): 5.709 5.709 5.503 90.00 90.00 90.00
Space group P4/mmm (No. 123)
Symmetry-distinct sites (fractional):
Rb 0.000 0.000 0.000 x1
As 0.000 0.000 0.500 x1
Ru 0.500 0.500 0.500 x1
Se 0.000 0.500 0.000 x2

A plane-wave DFT calculation with GGA-PBE was carried out for a relaxed HfGeHRu2 crystal.

Calculated values
Density of states at the Fermi level in states/eV/cell: 3.38
E in eV for the cell shown: -38.01
M_tot in μB per formula unit: 0.000

Lattice parameters (Å, degrees): 4.098 4.098 3.864 90.00 90.00 90.00
Space group P4/mmm (No. 123)
Symmetry-distinct sites (fractional):
Hf 0.000 0.000 0.000 x1
Ge 0.500 0.500 0.000 x1
H 0.000 0.000 0.500 x1
Ru 0.000 0.500 0.500 x2

A plane-wave DFT calculation with GGA-PBE was carried out for a relaxed Na2MnGa crystal.

Calculated values
Density of states at the Fermi level in states/eV/cell: 6.65
M_tot in μB per formula unit: 3.937
Formation enthalpy at 0 K in eV/atom: 0.5006

Lattice parameters (Å, degrees): 8.379 8.379 5.331 90.00 90.00 90.00
Space group I-42d (No. 122)
Symmetry-distinct sites (fractional):
Na 0.235 0.250 0.125 x8
Mn 0.000 0.000 0.500 x4
Ga 0.000 0.000 0.000 x4